Here is Na2Cd5Pt5 after structural relaxation from the Alexandria database. Energies are from PBE.

```
Na2Cd5Pt5
1.0
4.588 0.000 0.000
0.000 5.649 0.000
0.000 0.000 9.695
Na Cd Pt
2 5 5
Direct
0.000 0.000 0.000 Na
0.000 0.500 0.500 Na
0.000 0.000 0.314 Cd
0.000 0.000 0.686 Cd
0.000 0.500 0.168 Cd
0.000 0.500 0.832 Cd
0.500 0.000 0.500 Cd
0.500 0.247 0.243 Pt
0.500 0.247 0.757 Pt
0.500 0.500 0.000 Pt
0.500 0.753 0.243 Pt
0.500 0.753 0.757 Pt
```

Properties
Fermi-level density of states   0.363 states/eV/atom
ΔE_f   -0.259 eV/atom